A plane-wave DFT calculation with PBE was carried out for crystalline Ce4Ga3Ge5 at its relaxed geometry.

Results
The calculation puts the energy relative to the elements at -0.263 eV/atom.

Cell: 4.618 7.372 10.043 Å, 83.14 76.71 71.75°
Sites, in units of the cell vectors:
Ge (0.241, 0.355, 0.162)
Ga (0.611, 0.150, 0.627)
Ce (0.105, 0.743, 0.048)
Ga (0.389, 0.850, 0.373)
Ge (0.759, 0.645, 0.838)
Ga (0.000, 0.500, 0.500)
Ce (0.895, 0.257, 0.952)
Ce (0.754, 0.168, 0.324)
Ge (0.569, 0.995, 0.868)
Ge (0.500, 0.500, 0.500)
Ce (0.246, 0.832, 0.676)
Ge (0.431, 0.005, 0.132)

A plane-wave DFT calculation with PBE was carried out for crystalline Ce2GaGe at its relaxed geometry.

Results
The calculation puts the energy relative to the elements at -0.578 eV/atom.

Cell: 4.204 4.656 4.656 Å, 90.00 90.00 90.00°
Sites, in units of the cell vectors:
Ce (0.000, 0.000, 0.500)
Ce (0.000, 0.500, 0.000)
Ga (0.500, 0.500, 0.500)
Ge (0.500, 0.000, 0.000)